1.
The following is a PBE calculation of a relaxed structure of ThCu2Ni2, from the Alexandria database.

Cell: 8.055 7.114 5.328 Å, 79.26 60.20 40.54°
Sites, in units of the cell vectors:
Th 0.125 0.125 0.125
Th 0.875 0.875 0.875
Cu 0.275 0.275 0.475
Cu 0.475 0.475 0.275
Cu 0.525 0.525 0.725
Cu 0.725 0.725 0.525
Ni 0.155 0.595 0.155
Ni 0.405 0.845 0.405
Ni 0.595 0.155 0.595
Ni 0.845 0.405 0.845

Computed properties:
* DFT formation energy: -3.373 kcal/mol of atoms
* raw total energy: -55.8 eV per cell
* magnetization: 0.0 Bohr magnetons per cell
* polymorph energy (0 for the lowest one): 0.0541 eV per atom
* calculated volume: 16.20 A^3/atom

2.
The following is a PBE calculation of a relaxed structure of AcTbEuTm, from the Alexandria database.

Cell: 8.371 8.371 8.371 Å, 90.00 90.00 90.00°
Sites, in units of the cell vectors:
Ac 0.000 0.000 0.000
Ac 0.000 0.500 0.500
Ac 0.500 0.000 0.500
Ac 0.500 0.500 0.000
Tb 0.000 0.000 0.500
Tb 0.000 0.500 0.000
Tb 0.500 0.000 0.000
Tb 0.500 0.500 0.500
Eu 0.250 0.250 0.250
Eu 0.250 0.750 0.750
Eu 0.750 0.250 0.750
Eu 0.750 0.750 0.250
Tm 0.250 0.250 0.750
Tm 0.250 0.750 0.250
Tm 0.750 0.250 0.250
Tm 0.750 0.750 0.750

Computed properties:
* DFT formation energy: 3.272 kcal/mol of atoms
* raw total energy: -91.7 eV per cell
* magnetization: 30.8 Bohr magnetons per cell
* calculated volume: 36.66 A^3/atom

3.
The following is a PBE calculation of a relaxed structure of Er8HgAu2, from the Alexandria database.

Cell: 9.236 9.236 6.962 Å, 105.89 105.89 31.82°
Sites, in units of the cell vectors:
Er 0.031 0.031 0.269
Er 0.200 0.200 0.823
Er 0.329 0.329 0.527
Er 0.407 0.407 0.037
Er 0.593 0.593 0.963
Er 0.671 0.671 0.473
Er 0.800 0.800 0.177
Er 0.969 0.969 0.731
Hg 0.500 0.500 0.500
Au 0.185 0.185 0.220
Au 0.815 0.815 0.780

Computed properties:
* DFT formation energy: -9.436 kcal/mol of atoms
* raw total energy: -47.9 eV per cell
* magnetization: 0.0 Bohr magnetons per cell
* calculated volume: 27.28 A^3/atom